# 1
SrFe2Cl | PBEsol | relaxed

Output
total moment	1.519	μB per atom
E_form (uncorrected)	0.60	eV/atom
volume	21.4	A^3/atom

Unit cell a=3.148 b=5.259 c=5.799 alpha=116.96 beta=90.00 gamma=90.00
Sites, in units of the cell vectors:
Cl (0.500, 0.500, 0.000)
Fe (0.000, 0.500, 0.500)
Fe (0.000, 0.000, 0.500)
Sr (0.500, 0.000, 0.000)

# 2
SrFe2Cl | PBEsol | relaxed

Output
total moment	1.395	μB per atom
E_form (uncorrected)	0.55	eV/atom
volume	23.0	A^3/atom

Unit cell a=3.323 b=5.134 c=5.399 alpha=90.00 beta=90.00 gamma=90.00
Sites, in units of the cell vectors:
Cl (0.500, 0.500, 0.500)
Fe (0.000, 0.000, 0.804)
Fe (0.000, 0.000, 0.196)
Sr (0.500, 0.500, 0.000)

# 3
SrFeCl2 | PBEsol | relaxed

Output
total moment	0.508	μB per atom
E_form (uncorrected)	-0.83	eV/atom
volume	21.7	A^3/atom

Unit cell a=4.166 b=4.050 c=5.576 alpha=90.00 beta=112.84 gamma=90.00
Sites, in units of the cell vectors:
Fe (0.852, 0.000, 0.331)
Cl (0.721, 0.500, 0.398)
Cl (0.002, 0.000, 0.971)
Sr (0.425, 0.500, 0.801)

# 4
Sr2FeCl | PBEsol | relaxed

Output
total moment	0.714	μB per atom
E_form (uncorrected)	-0.05	eV/atom
volume	31.9	A^3/atom

Unit cell a=3.826 b=3.826 c=8.726 alpha=90.00 beta=90.00 gamma=90.00
Sites, in units of the cell vectors:
Sr (0.000, 0.000, 0.060)
Sr (0.500, 0.500, 0.654)
Cl (0.000, 0.000, 0.529)
Fe (0.500, 0.500, 0.257)

# 5
Sr2FeCl | PBEsol | relaxed

Output
total moment	0.326	μB per atom
E_form (uncorrected)	-0.05	eV/atom
volume	27.1	A^3/atom

Unit cell a=3.955 b=3.955 c=8.317 alpha=76.24 beta=76.24 gamma=60.00
Sites, in units of the cell vectors:
Fe (0.208, 0.208, 0.375)
Sr (0.967, 0.967, 0.100)
Sr (0.783, 0.783, 0.650)
Cl (0.542, 0.542, 0.375)

# 6
TaFeCl | PBEsol | relaxed

Output
total moment	0.718	μB per atom
E_form (uncorrected)	0.19	eV/atom
volume	16.0	A^3/atom

Unit cell a=2.937 b=2.937 c=6.307 alpha=97.90 beta=97.90 gamma=114.19
Sites, in units of the cell vectors:
Ta (0.674, 0.674, 0.347)
Cl (0.003, 0.003, 0.006)
Fe (0.323, 0.323, 0.647)

# 7
Ta2FeCl | PBEsol | relaxed

Output
total moment	0.000	μB per atom
E_form (uncorrected)	0.33	eV/atom
volume	14.5	A^3/atom

Unit cell a=2.879 b=4.459 c=5.240 alpha=115.18 beta=105.95 gamma=90.00
Sites, in units of the cell vectors:
Fe (0.233, 0.733, 0.467)
Ta (0.771, 0.271, 0.542)
Ta (0.978, 0.978, 0.957)
Cl (0.517, 0.517, 0.035)

# 8
Ta2FeCl | PBEsol | relaxed

Output
total moment	0.010	μB per atom
E_form (uncorrected)	0.36	eV/atom
volume	14.7	A^3/atom

Unit cell a=2.877 b=4.614 c=4.614 alpha=97.33 beta=99.55 gamma=99.55
Sites, in units of the cell vectors:
Ta (0.000, 0.000, 0.500)
Ta (0.000, 0.500, 0.000)
Fe (0.500, 0.500, 0.500)
Cl (0.500, 0.000, 0.000)

# 9
TaFe2Cl | PBEsol | relaxed

Output
total moment	0.483	μB per atom
E_form (uncorrected)	0.27	eV/atom
volume	13.8	A^3/atom

Unit cell a=3.042 b=3.042 c=5.950 alpha=90.00 beta=90.00 gamma=90.00
Sites, in units of the cell vectors:
Fe (0.000, 0.000, 0.228)
Fe (0.000, 0.000, 0.772)
Ta (0.500, 0.500, 0.000)
Cl (0.500, 0.500, 0.500)

# 10
Ta2FeCl | PBEsol | relaxed

Output
total moment	0.001	μB per atom
E_form (uncorrected)	0.29	eV/atom
volume	14.8	A^3/atom

Unit cell a=2.909 b=4.665 c=4.690 alpha=101.95 beta=90.00 gamma=108.17
Sites, in units of the cell vectors:
Ta (0.236, 0.473, 0.674)
Ta (0.018, 0.037, 0.085)
Cl (0.499, 0.998, 0.557)
Fe (0.746, 0.492, 0.183)

# 11
TaFeCl3 | PBEsol | relaxed

Output
total moment	0.824	μB per atom
E_form (uncorrected)	0.32	eV/atom
volume	22.1	A^3/atom

Unit cell a=4.799 b=4.799 c=4.799 alpha=90.00 beta=90.00 gamma=90.00
Sites, in units of the cell vectors:
Cl (0.500, 0.000, 0.000)
Cl (0.000, 0.500, 0.000)
Cl (0.000, 0.000, 0.500)
Fe (0.500, 0.500, 0.500)
Ta (0.000, 0.000, 0.000)

# 12
Ta2FeCl | PBEsol | relaxed

Output
total moment	0.105	μB per atom
E_form (uncorrected)	0.36	eV/atom
volume	14.4	A^3/atom

Unit cell a=2.833 b=4.514 c=4.514 alpha=90.00 beta=90.00 gamma=90.00
Sites, in units of the cell vectors:
Ta (0.000, 0.000, 0.500)
Ta (0.000, 0.500, 0.000)
Fe (0.500, 0.000, 0.000)
Cl (0.500, 0.500, 0.500)

# 13
TaFeCl2 | PBEsol | relaxed

Output
total moment	0.242	μB per atom
E_form (uncorrected)	0.65	eV/atom
volume	15.7	A^3/atom

Unit cell a=4.460 b=4.460 c=4.460 alpha=60.00 beta=60.00 gamma=60.00
Sites, in units of the cell vectors:
Cl (0.750, 0.750, 0.750)
Cl (0.000, 0.000, 0.000)
Ta (0.250, 0.250, 0.250)
Fe (0.500, 0.500, 0.500)

# 14
TaFeCl2 | PBEsol | relaxed

Output
total moment	0.257	μB per atom
E_form (uncorrected)	-0.44	eV/atom
volume	18.8	A^3/atom

Unit cell a=3.077 b=3.234 c=7.678 alpha=99.69 beta=90.00 gamma=90.00
Sites, in units of the cell vectors:
Fe (0.000, 0.509, 0.527)
Ta (0.500, 0.039, 0.686)
Cl (0.500, 0.803, 0.345)
Cl (0.000, 0.149, 0.942)

# 15
TaFeCl | PBEsol | relaxed

Output
total moment	0.599	μB per atom
E_form (uncorrected)	0.92	eV/atom
volume	14.6	A^3/atom

Unit cell a=3.953 b=3.953 c=3.953 alpha=60.00 beta=60.00 gamma=60.00
Sites, in units of the cell vectors:
Cl (0.250, 0.250, 0.250)
Ta (0.500, 0.500, 0.500)
Fe (0.000, 0.000, 0.000)

# 16
TaFeCl2 | PBEsol | relaxed

Output
total moment	0.670	μB per atom
E_form (uncorrected)	0.35	eV/atom
volume	15.9	A^3/atom

Unit cell a=2.857 b=4.137 c=5.366 alpha=90.00 beta=90.00 gamma=90.00
Sites, in units of the cell vectors:
Ta (0.000, 0.500, 0.500)
Cl (0.000, 0.000, 0.000)
Cl (0.500, 0.000, 0.500)
Fe (0.500, 0.500, 0.000)

# 17
Fe2TcCl | PBEsol | relaxed

Output
total moment	0.670	μB per atom
E_form (uncorrected)	0.98	eV/atom
volume	12.5	A^3/atom

Unit cell a=4.139 b=4.139 c=4.139 alpha=60.00 beta=60.00 gamma=60.00
Sites, in units of the cell vectors:
Cl (0.000, 0.000, 0.000)
Fe (0.750, 0.750, 0.750)
Fe (0.250, 0.250, 0.250)
Tc (0.500, 0.500, 0.500)

# 18
Fe2TcCl | PBEsol | relaxed

Output
total moment	0.918	μB per atom
E_form (uncorrected)	0.76	eV/atom
volume	12.3	A^3/atom

Unit cell a=4.112 b=4.112 c=4.116 alpha=119.97 beta=119.97 gamma=90.00
Sites, in units of the cell vectors:
Fe (0.750, 0.250, 0.500)
Fe (0.000, 0.000, 0.000)
Tc (0.500, 0.500, 0.000)
Cl (0.250, 0.750, 0.500)

# 19
Fe2TcCl | PBEsol | relaxed

Output
total moment	1.357	μB per atom
E_form (uncorrected)	0.45	eV/atom
volume	13.5	A^3/atom

Unit cell a=2.731 b=2.731 c=8.024 alpha=90.00 beta=90.00 gamma=115.92
Sites, in units of the cell vectors:
Cl (0.500, 0.500, 0.233)
Fe (0.500, 0.500, 0.758)
Fe (0.000, 0.000, 0.996)
Tc (0.000, 0.000, 0.513)

# 20
FeTcCl | PBEsol | relaxed

Output
total moment	0.380	μB per atom
E_form (uncorrected)	1.07	eV/atom
volume	13.0	A^3/atom

Unit cell a=3.804 b=3.804 c=3.804 alpha=60.00 beta=60.00 gamma=60.00
Sites, in units of the cell vectors:
Fe (0.000, 0.000, 0.000)
Cl (0.250, 0.250, 0.250)
Tc (0.500, 0.500, 0.500)

# 21
Fe2TcCl | PBEsol | relaxed

Output
total moment	1.276	μB per atom
E_form (uncorrected)	0.68	eV/atom
volume	12.7	A^3/atom

Unit cell a=2.747 b=4.199 c=4.415 alpha=90.00 beta=90.00 gamma=90.00
Sites, in units of the cell vectors:
Fe (0.000, 0.000, 0.000)
Fe (0.500, 0.500, 0.000)
Cl (0.000, 0.500, 0.500)
Tc (0.500, 0.000, 0.500)

# 22
Fe3TcCl | PBEsol | relaxed

Output
total moment	1.139	μB per atom
E_form (uncorrected)	1.58	eV/atom
volume	17.5	A^3/atom

Unit cell a=4.443 b=4.443 c=4.443 alpha=90.00 beta=90.00 gamma=90.00
Sites, in units of the cell vectors:
Fe (0.000, 0.500, 0.000)
Fe (0.500, 0.000, 0.000)
Fe (0.000, 0.000, 0.500)
Cl (0.500, 0.500, 0.500)
Tc (0.000, 0.000, 0.000)

# 23
FeTeCl3 | PBEsol | relaxed

Output
total moment	0.470	μB per atom
E_form (uncorrected)	-0.09	eV/atom
volume	20.8	A^3/atom

Unit cell a=4.703 b=4.703 c=4.703 alpha=90.00 beta=90.00 gamma=90.00
Sites, in units of the cell vectors:
Cl (0.000, 0.500, 0.000)
Cl (0.000, 0.000, 0.500)
Cl (0.500, 0.000, 0.000)
Fe (0.000, 0.000, 0.000)
Te (0.500, 0.500, 0.500)

# 24
FeTeCl4 | PBEsol | relaxed

Output
total moment	0.539	μB per atom
E_form (uncorrected)	0.88	eV/atom
volume	20.9	A^3/atom

Unit cell a=5.622 b=5.622 c=5.622 alpha=60.00 beta=60.00 gamma=60.00
Sites, in units of the cell vectors:
Cl (0.376, 0.872, 0.376)
Cl (0.872, 0.376, 0.376)
Cl (0.376, 0.376, 0.376)
Cl (0.376, 0.376, 0.872)
Fe (0.750, 0.750, 0.750)
Te (0.000, 0.000, 0.000)

# 25
FeTeCl | PBEsol | relaxed

Output
total moment	1.205	μB per atom
E_form (uncorrected)	1.04	eV/atom
volume	23.1	A^3/atom

Unit cell a=4.612 b=4.612 c=4.612 alpha=60.00 beta=60.00 gamma=60.00
Sites, in units of the cell vectors:
Te (0.500, 0.500, 0.500)
Fe (0.000, 0.000, 0.000)
Cl (0.250, 0.250, 0.250)

# 26
FeTe2Cl | PBEsol | relaxed

Output
total moment	0.779	μB per atom
E_form (uncorrected)	0.49	eV/atom
volume	21.4	A^3/atom

Unit cell a=4.951 b=4.951 c=4.951 alpha=60.00 beta=60.00 gamma=60.00
Sites, in units of the cell vectors:
Fe (0.250, 0.250, 0.250)
Te (0.750, 0.750, 0.750)
Te (0.000, 0.000, 0.000)
Cl (0.500, 0.500, 0.500)

# 27
FeTeCl2 | PBEsol | relaxed

Output
total moment	0.868	μB per atom
E_form (uncorrected)	0.21	eV/atom
volume	20.9	A^3/atom

Unit cell a=4.372 b=4.372 c=5.292 alpha=112.20 beta=112.20 gamma=94.89
Sites, in units of the cell vectors:
Fe (0.500, 0.500, 0.000)
Cl (0.000, 0.500, 0.500)
Cl (0.500, 0.000, 0.500)
Te (0.000, 0.000, 0.000)

# 28
FeTeCl7 | PBEsol | relaxed

Output
total moment	0.556	μB per atom
E_form (uncorrected)	-0.63	eV/atom
volume	29.8	A^3/atom

Unit cell a=6.528 b=8.457 c=10.080 alpha=85.57 beta=76.49 gamma=82.93
Sites, in units of the cell vectors:
Cl (0.067, 0.731, 0.134)
Cl (0.487, 0.920, 0.277)
Cl (0.662, 0.507, 0.371)
Cl (0.715, 0.352, 0.698)
Cl (0.085, 0.606, 0.513)
Cl (0.662, 0.614, 0.012)
Cl (0.545, 0.760, 0.657)
Cl (0.405, 0.049, 0.952)
Cl (0.324, 0.161, 0.569)
Cl (0.823, 0.182, 0.069)
Cl (0.988, 0.912, 0.762)
Cl (0.177, 0.460, 0.885)
Cl (0.930, 0.035, 0.437)
Cl (0.284, 0.329, 0.220)
Fe (0.492, 0.124, 0.126)
Fe (0.752, 0.555, 0.560)
Te (0.947, 0.491, 0.099)
Te (0.202, 0.921, 0.542)

# 29
FeTeCl2 | PBEsol | relaxed

Output
total moment	0.817	μB per atom
E_form (uncorrected)	0.55	eV/atom
volume	20.1	A^3/atom

Unit cell a=3.186 b=5.025 c=5.025 alpha=90.00 beta=90.00 gamma=90.00
Sites, in units of the cell vectors:
Cl (0.000, 0.000, 0.500)
Cl (0.000, 0.500, 0.000)
Te (0.500, 0.000, 0.000)
Fe (0.500, 0.500, 0.500)

# 30
FeTeCl2 | PBEsol | relaxed

Output
total moment	0.990	μB per atom
E_form (uncorrected)	-0.21	eV/atom
volume	22.7	A^3/atom

Unit cell a=4.174 b=3.010 c=10.028 alpha=90.00 beta=90.00 gamma=133.90
Sites, in units of the cell vectors:
Fe (0.500, 0.000, 0.500)
Cl (0.000, 0.000, 0.352)
Cl (0.000, 0.000, 0.648)
Te (0.500, 0.000, 0.000)